AlAg2Pt, relaxed, DFT PBE; E_tot = -16.54 eV for the cell shown; energy of formation from the pure elements = -0.264 eV/atom; space group = No. 139; total magnetization = 0.00 μB per formula unit
1.0
-3.279 -4.014 -0.374
2.073 -4.757 0.279
0.276 4.401 2.749
Ag Pt Al
2 1 1
Direct
0.000 0.000 0.000
0.500 0.500 0.000
0.750 0.250 0.500
0.250 0.750 0.500